Record 1
Compound: Tb2Y5Th
Source: the Alexandria database
Functional: PBE
Structure: relaxed

Structure (CIF):
```
data_Tb2Y5Th
_space_group_name_H-M_alt 'P b a m'
_space_group_IT_number 55
_space_group_name_Hall '-P 2 2ab'
_cell_length_a 7.143
_cell_length_b 14.320
_cell_length_c 5.051
_cell_angle_alpha 90.00
_cell_angle_beta 90.00
_cell_angle_gamma 90.00
loop_
_atom_site_label
_atom_site_fract_x
_atom_site_fract_y
_atom_site_fract_z
Tb1 0.245 0.123 0.000
Y1 0.000 0.500 0.500
Y2 0.001 0.248 0.500
Y3 0.244 0.877 0.000
Th1 0.000 0.000 0.500
```

---

Record 2
Compound: LiPmPrMg
Source: the Alexandria database
Functional: PBE
Structure: relaxed

Structure (CIF):
```
data_LiPmPrMg
_space_group_name_H-M_alt 'F -4 3 m'
_space_group_IT_number 216
_space_group_name_Hall 'F -4 2 3'
_cell_length_a 7.739
_cell_length_b 7.739
_cell_length_c 7.739
_cell_angle_alpha 90.00
_cell_angle_beta 90.00
_cell_angle_gamma 90.00
loop_
_atom_site_label
_atom_site_fract_x
_atom_site_fract_y
_atom_site_fract_z
Li1 0.000 0.000 0.000
Pm1 0.250 0.250 0.250
Pr1 0.250 0.250 0.750
Mg1 0.000 0.000 0.500
```

---

Calculated E_form (eV per formula unit), listed in the same order as above: 0.22, 0.05
Calculated density (kg/m³), listed in the same order as above: 6393, 4545